{
  "formula": "Ba12CaAu7",
  "functional": "PBE",
  "state": "optimized geometry",
  "lattice_angstrom": [[-1.3408, -9.0249, -5.1477], [9.0353, 4.1711, -3.2727], [1.1038, -2.3113, 10.1580]],
  "species": ["Ba", "Ba", "Ba", "Ba", "Ba", "Ba", "Ba", "Ba", "Ba", "Ba", "Ba", "Ba", "Ca", "Au", "Au", "Au", "Au", "Au", "Au", "Au"],
  "frac_coords": [[0.9216, 0.3155, 0.7741], [0.6845, 0.2259, 0.0784], [0.4466, 0.1524, 0.3709], [0.8476, 0.6291, 0.5534], [0.2259, 0.0784, 0.6845], [0.6291, 0.5534, 0.8476], [0.3709, 0.4466, 0.1524], [0.7741, 0.9216, 0.3155], [0.1524, 0.3709, 0.4466], [0.5534, 0.8476, 0.6291], [0.3155, 0.7741, 0.9216], [0.0784, 0.6845, 0.2259], [0.0000, 0.0000, 0.0000], [0.9752, 0.6713, 0.8943], [0.3287, 0.1057, 0.0248], [0.1057, 0.0248, 0.3287], [0.5000, 0.5000, 0.5000], [0.8943, 0.9752, 0.6713], [0.6713, 0.8943, 0.9752], [0.0248, 0.3287, 0.1057]]
}


{
  "formula": "Ba2Ca4Au",
  "functional": "PBE",
  "state": "optimized geometry",
  "lattice_angstrom": [[5.7577, 0.0000, 0.0000], [0.0000, 5.7577, 0.0000], [-2.8789, -2.8789, 10.4643]],
  "species": ["Ca", "Ca", "Ca", "Ca", "Au", "Ba", "Ba"],
  "frac_coords": [[0.8628, 0.8628, 0.7255], [0.1372, 0.1372, 0.2745], [0.0000, 0.5000, 0.0000], [0.5000, 0.0000, 0.0000], [0.0000, 0.0000, 0.0000], [0.6696, 0.6696, 0.3392], [0.3304, 0.3304, 0.6608]]
}


Mass density across the listed records, respectively: 5.39; 3.02 g/cm³.
Energy of formation across the listed records, respectively: -0.52; -0.14 eV per atom.
Uncorrected energy across the listed records, respectively: -2.92; -2.30 eV/atom.